1.
A relaxed structure of Sc4NiAuC2. Source: OQMD via LeMat-Bulk, functional PBE-GGA.

The total energy is -7.0469 eV/atom.

The space group is P-6m2 (No. 187) and the conventional cell measures 3.3818, 3.3818 and 12.9855 Å, with angles of 90.00, 90.00 and 120.00 degrees. The distinct sites, in fractional coordinates, are Sc at (0.0000, 0.0000, 0.1432), Sc at (0.3333, 0.6667, 0.3306), Ni at (0.3333, 0.6667, 0.0000), Au at (0.0000, 0.0000, 0.5000) and C at (0.6667, 0.3333, 0.2422).



2.
A relaxed structure of NdHoS2. Source: OQMD via LeMat-Bulk, functional PBE-GGA.

The total energy is -6.3703 eV/atom.

The space group is P4/mmm (No. 123) and the conventional cell measures 3.979, 3.979 and 5.628 Å, with angles of 90.00, 90.00 and 90.00 degrees. The distinct sites, in fractional coordinates, are Nd at (0.000, 0.000, 0.000), Ho at (0.500, 0.500, 0.500), S at (0.000, 0.000, 0.500) and S at (0.500, 0.500, 0.000).



3.
A relaxed structure of Pr2Ni8P. Source: OQMD via LeMat-Bulk, functional PBE-GGA.

The total energy is -5.8724 eV/atom.

The space group is Amm2 (No. 38) and the conventional cell measures 3.953, 16.581 and 4.877 Å, with angles of 90.00, 90.00 and 90.00 degrees. The distinct sites, in fractional coordinates, are Pr at (0.000, 0.120, 0.000), Ni at (0.000, 0.000, 0.500), Ni at (0.000, 0.209, 0.499), Ni at (0.500, 0.000, 0.823), Ni at (0.500, 0.118, 0.498), Ni at (0.500, 0.249, 0.750) and P at (0.500, 0.000, 0.280).



4.
A relaxed structure of KHg3PbSe4. Source: OQMD via LeMat-Bulk, functional PBE-GGA.

The total energy is -2.4354 eV/atom.

The space group is P-43m (No. 215) and the conventional cell measures 6.939, 6.939 and 6.939 Å, with angles of 90.00, 90.00 and 90.00 degrees. The distinct sites, in fractional coordinates, are K at (0.000, 0.000, 0.000), Hg at (0.000, 0.500, 0.500), Pb at (0.500, 0.500, 0.500) and Se at (0.262, 0.262, 0.262).



5.
A relaxed structure of PaNbW. Source: OQMD via LeMat-Bulk, functional PBE-GGA.

The total energy is -9.6430 eV/atom. The distance to the lowest polymorph of the same formula comes out at 487.0 meV/atom. The calculation puts the formation energy at 349 kJ/mol of formula units.

The space group is F-43m (No. 216) and the conventional cell measures 6.410, 6.410 and 6.410 Å, with angles of 90.00, 90.00 and 90.00 degrees. The distinct sites, in fractional coordinates, are Pa at (0.000, 0.000, 0.000), Nb at (0.250, 0.250, 0.750) and W at (0.250, 0.250, 0.250).



6.
A relaxed structure of Sr2In4IrPd. Source: OQMD via LeMat-Bulk, functional PBE-GGA.

The total energy is -4.0490 eV/atom.

The space group is Amm2 (No. 38) and the conventional cell measures 8.021, 4.503 and 10.985 Å, with angles of 90.00, 90.00 and 90.00 degrees. The distinct sites, in fractional coordinates, are Sr at (0.000, 0.000, 0.000), Sr at (0.500, 0.000, 0.124), In at (0.199, 0.000, 0.713), In at (0.307, 0.000, 0.409), Ir at (0.500, 0.000, 0.843) and Pd at (0.000, 0.000, 0.280).